PmDyPS | PBE-GGA | optimized geometry

Cell: 4.0179 4.0179 7.0002 Å, 73.32 73.32 60.00°
Fractional coordinates of all 4 atoms:
Pm 0.6912 0.6912 0.9263
P 0.9411 0.9411 0.1768
S 0.4472 0.4472 0.6584
Dy 0.1969 0.1969 0.4092

## Properties
As for the total magnetization: 0.00 μB/f.u. The total energy is -6.59 eV/atom. As for the formation energy from raw total energies: -1.865 eV/atom.

PmDy2ScP4 | PBE-GGA | optimized geometry

Cell: 3.9876 6.8906 6.8985 Å, 109.46 90.00 90.00°
Fractional coordinates of all 8 atoms:
Dy 0.5000 0.0000 0.5000
Dy 0.0000 0.5000 0.5000
P 0.0000 0.7599 0.2504
P 0.0000 0.2401 0.7496
P 0.5000 0.2380 0.2430
P 0.5000 0.7620 0.7570
Sc 0.0000 0.0000 0.0000
Pm 0.5000 0.5000 0.0000

## Properties
As for the total magnetization: 0.00 μB/f.u. The total energy is -6.78 eV/atom. For the calculated formation energy, the calculation gives -1.53 eV/atom.

PmDyPSe | PBE-GGA | optimized geometry

Cell: 4.0199 4.0205 7.4740 Å, 90.00 105.59 120.00°
Fractional coordinates of all 4 atoms:
P 0.3000 0.5479 0.8632
Pm 0.1180 0.9569 0.0903
Dy 0.4875 0.1417 0.6444
Se 0.9724 0.3843 0.3717

## Properties
As for the total magnetization: 0.00 μB/f.u. The total energy is -6.27 eV/atom. As for the formation energy from raw total energies: -1.706 eV/atom.

Pm2SmDyP4 | PBE-GGA | optimized geometry

Cell: 4.0972 7.0914 7.0907 Å, 109.46 90.00 90.00°
Fractional coordinates of all 8 atoms:
Sm 0.5000 0.5000 0.0000
Dy 0.0000 0.0000 0.0000
Pm 0.5000 0.0000 0.5000
Pm 0.0000 0.5000 0.5000
P 0.0000 0.7515 0.2466
P 0.0000 0.2485 0.7534
P 0.5000 0.2454 0.2445
P 0.5000 0.7546 0.7555

## Properties
As for the total magnetization: 0.00 μB/f.u. The total energy is -6.63 eV/atom. For the calculated formation energy, the calculation gives -1.57 eV/atom.